{"formula": "Ac3PuTe4", "functional": "GGA-PBE", "state": "relaxed", "formation_energy_uncorrected_kcal_per_mol_atoms": -31.94, "cell": [[4.654, 0.000, 0.000], [0.000, 8.095, -0.065], [0.000, -2.614, 7.661]], "species": ["Ac", "Ac", "Ac", "Pu", "Te", "Te", "Te", "Te"], "fractional_positions": [[0.000, 0.000, 0.500], [0.500, 0.500, 0.500], [0.000, 0.500, 0.000], [0.500, 0.000, 0.000], [0.000, 0.237, 0.237], [0.500, 0.757, 0.243], [0.000, 0.763, 0.763], [0.500, 0.243, 0.757]]}

{"formula": "KRbFe2I8", "functional": "GGA-PBE", "state": "relaxed", "formation_energy_uncorrected_kcal_per_mol_atoms": -13.94, "cell": [[8.493, 0.000, 0.000], [-4.247, 7.355, 0.000], [0.000, 0.000, 11.107]], "species": ["K", "Rb", "Fe", "Fe", "I", "I", "I", "I", "I", "I", "I", "I"], "fractional_positions": [[0.000, 0.000, 0.000], [0.000, 0.000, 0.500], [0.667, 0.333, 0.315], [0.333, 0.667, 0.685], [0.831, 0.169, 0.236], [0.831, 0.662, 0.236], [0.338, 0.169, 0.236], [0.662, 0.831, 0.764], [0.333, 0.667, 0.459], [0.667, 0.333, 0.541], [0.169, 0.831, 0.764], [0.169, 0.338, 0.764]]}

{"formula": "ZnReAs2", "functional": "GGA-PBE", "state": "relaxed", "formation_enthalpy_0k_mev_per_atom": 717, "cell": [[-4.065, -0.965, 1.674], [-0.776, -4.033, 1.842], [-0.572, -0.369, 4.450]], "species": ["As", "As", "Re", "Zn"], "fractional_positions": [[0.000, 0.000, 0.000], [0.750, 0.750, 0.750], [0.500, 0.500, 0.500], [0.250, 0.250, 0.250]]}

{"formula": "ScVBi2", "functional": "GGA-PBE", "state": "relaxed", "formation_enthalpy_0k_mev_per_atom": 380, "de_polymorph_ev_per_atom": 0.3556, "cell": [[6.377, 0.000, 0.000], [0.000, 6.377, 0.000], [3.188, 3.188, 6.892]], "species": ["Sc", "Sc", "Bi", "Bi", "Bi", "Bi", "V", "V"], "fractional_positions": [[0.500, 0.500, 0.000], [0.250, 0.750, 0.500], [0.651, 0.125, 0.250], [0.099, 0.625, 0.250], [0.375, 0.349, 0.750], [0.875, 0.901, 0.750], [0.000, 0.000, 0.000], [0.750, 0.250, 0.500]]}

V, record by record: 288, 694, 64, 280 Å³/cell